## MgAg3I4 (GGA-PBE)

Data for MgAg3I4 after structural relaxation.

Cell lengths 6.7458, 6.7458, 13.4356 Å; angles 90.00, 90.00, 90.00 degrees
Space group I-42m (No. 121)
Inequivalent atoms, fractional coordinates:
Mg 0.0000 0.0000 0.0000 (multiplicity 2)
Ag 0.0000 0.0000 0.5000 (multiplicity 2)
Ag 0.0000 0.5000 0.2500 (multiplicity 4)
I 0.2439 0.2439 0.8772 (multiplicity 8)

The calculation puts the raw total energy at -2.29 eV/atom. The density of states at the Fermi level is 6.96 states/eV/cell. Its magnetic moment is 0.000 μB per atom.